IClF | the Alexandria database | GGA-PBE | relaxed; spin magnetization = 0.00 μB per cell; uncorrected formation energy = -0.589 eV/atom; electronic total energy = -0.1724 Ry/atom; ρ = 3.7 Mg/m³
1.0
-0.814 0.985 -3.061
1.612 -4.289 -1.576
-4.456 -1.986 2.446
I F Cl
1 1 1
Direct
0.812 0.384 0.757
0.693 0.657 0.488
0.963 0.063 0.086



ICl5F | the Alexandria database | GGA-PBE | relaxed; spin magnetization = 0.00 μB per cell; uncorrected formation energy = -0.060 eV/atom; electronic total energy = -0.1373 Ry/atom; ρ = 2.0 Mg/m³
1.0
7.324 0.000 3.837
4.009 5.723 1.256
1.009 -0.789 6.983
I Cl F
1 5 1
Direct
0.900 0.600 0.600
0.871 0.903 0.355
0.236 0.264 0.264
0.871 0.355 0.903
0.589 0.617 0.617
0.177 0.617 0.617
0.887 0.113 0.113



ICl2F8 | the Alexandria database | GGA-PBE | relaxed; spin magnetization = 1.05 μB per cell; uncorrected formation energy = -1.036 eV/atom; electronic total energy = -0.2112 Ry/atom; ρ = 2.7 Mg/m³
1.0
-2.816 -3.646 4.250
-2.278 -3.151 -4.212
3.128 -5.846 1.680
I F Cl
1 8 2
Direct
0.000 0.000 0.000
0.318 0.898 0.804
0.878 0.898 0.804
0.682 0.102 0.196
0.400 0.618 0.200
0.122 0.102 0.196
0.913 0.679 0.175
0.087 0.321 0.825
0.600 0.382 0.800
0.727 0.514 0.545
0.273 0.486 0.455